[1]
A plane-wave DFT calculation with GGA-PBEsol was carried out for InRhBr after structural relaxation.

- Distance to the lowest polymorph of the same formula: 72 meV/atom
- SG: P3m1, No. 156

Cell lengths 3.2687, 4.4843, 4.4843 Å; angles 120.00, 90.00, 90.00 degrees
Last column: nearest neighbours and their distance in Å.
Fractional coordinates of all 3 atoms:
Br1 0.1662 0.0000 0.0000  3 Rh 2.59
Rh1 0.1678 0.6667 0.3333  3 Br 2.59
In1 0.6661 0.3333 0.6667  6 Rh 3.06, 6 Br 3.06, 2 In 3.27

[2]
A plane-wave DFT calculation with GGA-PBEsol was carried out for In2RhBr after structural relaxation.

- Distance to the lowest polymorph of the same formula: 595 meV/atom
- SG: Pmmm, No. 47

Cell lengths 3.2793, 4.9925, 4.9810 Å; angles 90.00, 90.00, 90.00 degrees
Last column: nearest neighbours and their distance in Å.
Fractional coordinates of all 4 atoms:
Br1 0.0000 0.5000 0.5000  4 Rh 2.98, 4 In 2.99, 2 Br 3.28
In1 0.5000 0.0000 0.5000  6 In 2.98-3.28, 4 Br 2.99
In2 0.0000 0.0000 0.0000  6 In 2.98-3.28, 4 Rh 2.99
Rh1 0.5000 0.5000 0.0000  4 Br 2.98, 4 In 2.99, 2 Rh 3.28

[3]
A plane-wave DFT calculation with GGA-PBEsol was carried out for In2RhBr after structural relaxation.

- Distance to the lowest polymorph of the same formula: 670 meV/atom
- SG: Fm-3m, No. 225

Cell lengths 4.9262, 4.9262, 4.9262 Å; angles 60.00, 60.00, 60.00 degrees
Last column: nearest neighbours and their distance in Å.
Fractional coordinates of all 4 atoms:
In1 0.7500 0.7500 0.7500  4 Br 3.02, 4 Rh 3.02
Rh1 0.5000 0.5000 0.5000  8 In 3.02
Br1 0.0000 0.0000 0.0000  8 In 3.02
In2 0.2500 0.2500 0.2500  4 Rh 3.02, 4 Br 3.02

[4]
A plane-wave DFT calculation with GGA-PBEsol was carried out for In2RhBr after structural relaxation.

- Distance to the lowest polymorph of the same formula: 305 meV/atom
- SG: P4/mmm, No. 123

Cell lengths 3.1160, 5.0914, 5.0914 Å; angles 89.98, 89.97, 89.97 degrees
Last column: nearest neighbours and their distance in Å.
Fractional coordinates of all 4 atoms:
In1 0.0000 0.5000 0.0000  4 Rh 2.98-2.99, 4 Br 2.98-2.99, 2 In 3.12
Rh1 0.5000 0.5000 0.5000  8 In 2.98-2.99, 2 Rh 3.12
Br1 0.5000 0.0000 0.0000  8 In 2.98-2.99, 2 Br 3.12
In2 0.0000 0.0000 0.5000  4 Br 2.98-2.99, 4 Rh 2.98-2.99, 2 In 3.12

[5]
A plane-wave DFT calculation with GGA-PBEsol was carried out for In2RhBr after structural relaxation.

- Distance to the lowest polymorph of the same formula: 0 meV/atom
- SG: Cm, No. 8

Cell lengths 3.3537, 3.1876, 8.2411 Å; angles 90.09, 101.74, 90.00 degrees
Last column: nearest neighbours and their distance in Å.
Fractional coordinates of all 4 atoms:
Rh1 0.4359 0.5008 0.8719  8 In 2.76-2.79
In1 0.8399 0.9997 0.6798  4 Rh 2.78-2.79, 2 Br 2.88, 1 In 3.06
Br1 0.1945 0.9972 0.3890  3 In 2.66-2.88
In2 0.0296 0.0022 0.0593  1 Br 2.66, 4 Rh 2.76

[6]
A plane-wave DFT calculation with GGA-PBEsol was carried out for InRhBr after structural relaxation.

- Distance to the lowest polymorph of the same formula: 0 meV/atom
- SG: F-43m, No. 216

Cell lengths 4.4671, 4.4671, 4.4671 Å; angles 60.00, 60.00, 60.00 degrees
Last column: nearest neighbours and their distance in Å.
Fractional coordinates of all 3 atoms:
In1 0.5000 0.5000 0.5000  4 Rh 2.74
Br1 0.0000 0.0000 0.0000  4 Rh 2.74
Rh1 0.2500 0.2500 0.2500  4 In 2.74, 4 Br 2.74

[7]
A plane-wave DFT calculation with GGA-PBEsol was carried out for In3RhBr after structural relaxation.

- SG: Pm-3m, No. 221
- E: -4.175 eV/atom

Cell lengths 5.1106, 5.1106, 5.1106 Å; angles 90.00, 90.00, 90.00 degrees
Last column: nearest neighbours and their distance in Å.
Fractional coordinates of all 5 atoms:
In1 0.0000 0.5000 0.0000  2 Rh 2.56
In2 0.5000 0.0000 0.0000  2 Rh 2.56
Br1 0.5000 0.5000 0.5000  12 In 3.61
Rh1 0.0000 0.0000 0.0000  6 In 2.56
In3 0.0000 0.0000 0.5000  2 Rh 2.56

[8]
A plane-wave DFT calculation with GGA-PBEsol was carried out for InRuBr after structural relaxation.

- SG: I4mm, No. 107
- E: -4.586 eV/atom

Cell lengths 3.1774, 3.1774, 6.2129 Å; angles 104.82, 104.82, 90.00 degrees
Last column: nearest neighbours and their distance in Å.
Fractional coordinates of all 3 atoms:
Br1 0.9752 0.9752 0.9504  4 Ru 2.82
Ru1 0.3283 0.3283 0.6566  4 In 2.72, 4 Br 2.82
In1 0.6965 0.6965 0.3930  4 Ru 2.72

Please write out number 8 again, unchanged.
A plane-wave DFT calculation with GGA-PBEsol was carried out for InRuBr after structural relaxation.

- SG: I4mm, No. 107
- E: -4.586 eV/atom

Cell lengths 3.1774, 3.1774, 6.2129 Å; angles 104.82, 104.82, 90.00 degrees
Last column: nearest neighbours and their distance in Å.
Fractional coordinates of all 3 atoms:
Br1 0.9752 0.9752 0.9504  4 Ru 2.82
Ru1 0.3283 0.3283 0.6566  4 In 2.72, 4 Br 2.82
In1 0.6965 0.6965 0.3930  4 Ru 2.72